Record 1
Compound: CaCd2Si
Source: Alexandria
Functional: GGA-PBE
Structure: optimized geometry

Summary:
total moment: 0.000 μB per atom
formation energy (no corrections): 0.0155 eV per atom

abc: 3.584 3.584 7.315
angles: 90.00 90.00 90.00
Atoms (fractional coordinates):
Ca 0.000 0.000 0.000
Cd 0.500 0.500 0.289
Cd 0.500 0.500 0.711
Si 0.000 0.000 0.500

=====

Record 2
Compound: CaInSiSn2
Source: Alexandria
Functional: GGA-PBE
Structure: optimized geometry

Summary:
total moment: 0.097 μB per atom
formation energy (no corrections): 0.7128 eV per atom

abc: 5.483 5.483 5.819
angles: 90.00 90.00 90.00
Atoms (fractional coordinates):
Ca 0.000 0.000 0.000
In 0.000 0.000 0.500
Si 0.500 0.500 0.000
Sn 0.000 0.500 0.500
Sn 0.500 0.000 0.500

=====

These records have uncorrected energy values of -2.30; -2.92 eV per atom, in the order they appear.